{"formula": "GdSc2Pt", "functional": "PBE-GGA", "state": "relaxed", "lattice_angstrom": [[3.6561, 0.0000, 0.0000], [-1.8280, 3.1663, 0.0000], [0.0000, 0.0000, 26.8083]], "species": ["Gd", "Gd", "Gd", "Sc", "Sc", "Sc", "Sc", "Sc", "Sc", "Pt", "Pt", "Pt"], "fractional_positions": [[0.0000, 0.0000, 0.0000], [0.3333, 0.6667, 0.6667], [0.6667, 0.3333, 0.3333], [0.0000, 0.0000, 0.2271], [0.0000, 0.0000, 0.7729], [0.3333, 0.6667, 0.4396], [0.3333, 0.6667, 0.8937], [0.6667, 0.3333, 0.1063], [0.6667, 0.3333, 0.5604], [0.0000, 0.0000, 0.5000], [0.3333, 0.6667, 0.1667], [0.6667, 0.3333, 0.8333]], "space_group": "R-3m", "energy_ev_per_atom": -8.630}